Entry 1:
Below is a relaxed Ag3SbRh crystal, with properties calculated at the GGA-PBE level.

a = 5.009 Å, b = 5.009 Å, c = 5.009 Å
α = 90.00°, β = 90.00°, γ = 90.00°
Site moments in Bohr magnetons follow the coordinates.
Atoms (fractional coordinates):
Sb (0.500, 0.500, 0.500)  0.08
Ag (0.000, 0.000, 0.500)  0.05
Ag (0.000, 0.500, 0.000)  0.04
Ag (0.500, 0.000, 0.000)  0.01
Rh (0.000, 0.000, 0.000)  0.79

Summary:
Final energy ... -3.0468 eV/atom
Offset from the most stable computed form ... 0.000 eV per atom
D(E_F) ... 4.79 states/eV/cell
Crystal system ... cubic
Volume ... 25.13 Å³ per atom
ΔE_f (raw) ... 4.794 eV/f.u.


Entry 2:
Below is a relaxed KLi2Bi2 crystal, with properties calculated at the GGA-PBE level.

a = 9.131 Å, b = 9.131 Å, c = 3.226 Å
α = 90.00°, β = 90.00°, γ = 90.00°
Atoms (fractional coordinates):
K (0.500, 0.500, 0.000)
K (0.000, 0.000, 0.000)
Bi (0.166, 0.666, 0.500)
Bi (0.834, 0.334, 0.500)
Bi (0.334, 0.166, 0.500)
Bi (0.666, 0.834, 0.500)
Li (0.123, 0.377, 0.000)
Li (0.877, 0.623, 0.000)
Li (0.377, 0.877, 0.000)
Li (0.623, 0.123, 0.000)

Summary:
Final energy ... -2.9318 eV/atom
Offset from the most stable computed form ... 0.000 eV per atom
D(E_F) ... 2.97 states/eV/cell
Crystal system ... tetragonal
Volume ... 26.90 Å³ per atom
Energy of formation ... -0.39 eV per atom


Entry 3:
Below is a relaxed PuH8PdRh4 crystal, with properties calculated at the GGA-PBE level.

a = 5.674 Å, b = 5.674 Å, c = 5.667 Å
α = 59.96°, β = 59.96°, γ = 60.00°
Site moments in Bohr magnetons follow the coordinates.
Atoms (fractional coordinates):
H (0.222, 0.859, 0.697)  0.00
H (0.270, 0.702, 0.326)  0.00
H (0.766, 0.766, 0.701)  0.00
H (0.702, 0.270, 0.326)  0.00
H (0.222, 0.222, 0.697)  0.00
H (0.702, 0.702, 0.326)  0.00
H (0.859, 0.222, 0.697)  0.00
H (0.224, 0.224, 0.327)  0.00
Rh (0.635, 0.635, 0.094)  -0.15
Rh (0.003, 0.003, 0.485)  -0.01
Rh (0.003, 0.509, 0.485)  -0.01
Rh (0.509, 0.003, 0.485)  -0.01
Pd (0.999, 0.999, 0.004)  0.01
Pu (0.384, 0.384, 0.848)  5.13

Summary:
Final energy ... -5.5298 eV/atom
D(E_F) ... 20.11 states/eV/cell
Crystal system ... trigonal
Volume ... 9.21 Å³ per atom


Entry 4:
Below is a relaxed InCo2Cu crystal, with properties calculated at the GGA-PBE level.

a = 5.350 Å, b = 3.802 Å, c = 5.432 Å
α = 90.00°, β = 95.20°, γ = 90.00°
Site moments in Bohr magnetons follow the coordinates.
Atoms (fractional coordinates):
Co (0.619, 0.000, 0.425)  1.45
Co (0.828, 0.500, 0.193)  1.20
Co (0.320, 0.500, 0.674)  1.12
Co (0.847, 0.500, 0.630)  1.69
Cu (0.084, 0.000, 0.432)  0.07
Cu (0.089, 0.000, 0.896)  0.01
In (0.608, 0.000, 0.901)  -0.06
In (0.319, 0.500, 0.192)  -0.03

Summary:
Final energy ... -5.0538 eV/atom
D(E_F) ... 9.42 states/eV/cell
Crystal system ... monoclinic
Volume ... 13.75 Å³ per atom
Energy of formation ... 0.21 eV per atom


Entry 5:
Below is a relaxed RbBaSr2Ir crystal, with properties calculated at the GGA-PBE level.

a = 6.119 Å, b = 6.119 Å, c = 6.275 Å
α = 90.00°, β = 90.00°, γ = 90.00°
Atoms (fractional coordinates):
Ba (0.000, 0.000, 0.500)
Sr (0.000, 0.500, 0.000)
Sr (0.500, 0.000, 0.000)
Ir (0.000, 0.000, 0.000)
Rb (0.500, 0.500, 0.500)

Summary:
Final energy ... -3.0680 eV/atom
D(E_F) ... 4.62 states/eV/cell
Crystal system ... tetragonal
Volume ... 46.99 Å³ per atom
Energy of formation ... -0.05 eV per atom


Entry 6:
Below is a relaxed TbTm2Al3 crystal, with properties calculated at the GGA-PBE level.

a = 3.561 Å, b = 3.561 Å, c = 10.774 Å
α = 90.00°, β = 90.00°, γ = 90.00°
Atoms (fractional coordinates):
Al (0.000, 0.000, 0.000)
Al (0.000, 0.000, 0.327)
Al (0.000, 0.000, 0.673)
Tm (0.500, 0.500, 0.836)
Tm (0.500, 0.500, 0.164)
Tb (0.500, 0.500, 0.500)

Summary:
Final energy ... -4.5256 eV/atom
D(E_F) ... 2.24 states/eV/cell
Crystal system ... tetragonal
Volume ... 22.78 Å³ per atom
Energy of formation ... -0.39 eV per atom


Entry 7:
Below is a relaxed BaNpCu2I8 crystal, with properties calculated at the GGA-PBE level.

a = 7.260 Å, b = 7.260 Å, c = 10.376 Å
α = 90.00°, β = 90.00°, γ = 120.00°
Site moments in Bohr magnetons follow the coordinates.
Atoms (fractional coordinates):
Cu (0.333, 0.667, 0.757)  -0.10
Cu (0.667, 0.333, 0.243)  -0.10
I (0.321, 0.330, 0.319)  -0.05
I (0.333, 0.667, 0.002)  -0.03
I (0.330, 0.009, 0.681)  -0.05
I (0.679, 0.670, 0.681)  -0.05
I (0.991, 0.321, 0.681)  -0.05
I (0.009, 0.679, 0.319)  -0.05
I (0.670, 0.991, 0.319)  -0.05
I (0.667, 0.333, 0.998)  -0.03
Np (0.000, 0.000, 0.500)  3.54
Ba (0.000, 0.000, 0.000)  0.00

Summary:
Final energy ... -3.6914 eV/atom
D(E_F) ... 6.85 states/eV/cell
Crystal system ... trigonal
Volume ... 39.46 Å³ per atom
ΔE_f (raw) ... -8.839 eV/f.u.


Entry 8:
Below is a relaxed Th2AlNi9 crystal, with properties calculated at the GGA-PBE level.

a = 4.905 Å, b = 4.905 Å, c = 8.787 Å
α = 73.79°, β = 73.79°, γ = 60.00°
Atoms (fractional coordinates):
Th (0.867, 0.867, 0.398)
Th (0.133, 0.133, 0.602)
Ni (0.581, 0.581, 0.759)
Ni (0.920, 0.419, 0.241)
Ni (0.500, 0.500, 0.500)
Ni (0.333, 0.333, 0.001)
Ni (0.419, 0.419, 0.241)
Ni (0.667, 0.667, 0.999)
Ni (0.419, 0.920, 0.241)
Ni (0.581, 0.080, 0.759)
Ni (0.080, 0.581, 0.759)
Al (0.000, 0.000, 0.000)

Summary:
Final energy ... -6.1462 eV/atom
D(E_F) ... 11.87 states/eV/cell
Crystal system ... trigonal
Volume ... 14.44 Å³ per atom
Energy of formation ... -0.26 eV per atom


Entry 9:
Below is a relaxed LiC2O crystal, with properties calculated at the GGA-PBE level.

a = 2.640 Å, b = 2.640 Å, c = 5.151 Å
α = 104.93°, β = 90.11°, γ = 120.00°
Site moments in Bohr magnetons follow the coordinates.
Atoms (fractional coordinates):
O (0.802, 0.456, 0.260)  0.21
C (0.899, 0.647, 0.543)  -0.01
C (0.263, 0.375, 0.634)  0.34
Li (0.065, 0.982, 0.052)  0.03

Summary:
Final energy ... -6.5091 eV/atom
D(E_F) ... 1.07 states/eV/cell
Crystal system ... monoclinic
Volume ... 7.42 Å³ per atom
ΔE_f (raw) ... -0.717 eV/f.u.


Entry 10:
Below is a relaxed SrRe2Pt crystal, with properties calculated at the GGA-PBE level.

a = 5.220 Å, b = 2.772 Å, c = 5.132 Å
α = 87.52°, β = 90.00°, γ = 90.00°
Atoms (fractional coordinates):
Re (0.000, 0.628, 0.509)
Re (0.000, 0.872, 0.991)
Sr (0.500, 0.250, 0.250)
Pt (0.500, 0.750, 0.750)

Summary:
Final energy ... -7.4823 eV/atom
Offset from the most stable computed form ... 0.429 eV per atom
D(E_F) ... 3.47 states/eV/cell
Crystal system ... monoclinic
Volume ... 18.55 Å³ per atom
Energy of formation ... 0.67 eV per atom


Entry 11:
Below is a relaxed Lu2RuCl crystal, with properties calculated at the GGA-PBE level.

a = 3.588 Å, b = 3.588 Å, c = 8.164 Å
α = 77.31°, β = 77.31°, γ = 60.00°
Atoms (fractional coordinates):
Cl (0.500, 0.500, 0.500)
Lu (0.741, 0.741, 0.777)
Lu (0.259, 0.259, 0.223)
Ru (0.000, 0.000, 0.000)

Summary:
Final energy ... -5.8896 eV/atom
Offset from the most stable computed form ... 0.066 eV per atom
D(E_F) ... 2.86 states/eV/cell
Crystal system ... trigonal
Volume ... 22.01 Å³ per atom
ΔE_f (raw) ... -3.394 eV/f.u.


Entry 12:
Below is a relaxed Be2InFe crystal, with properties calculated at the GGA-PBE level.

a = 4.648 Å, b = 4.648 Å, c = 4.648 Å
α = 135.62°, β = 135.62°, γ = 64.56°
Site moments in Bohr magnetons follow the coordinates.
Atoms (fractional coordinates):
Be (0.250, 0.750, 0.500)  -0.04
Be (0.000, 0.000, 0.000)  -0.03
Fe (0.500, 0.500, 0.000)  1.20
In (0.750, 0.250, 0.500)  -0.06

Summary:
Final energy ... -4.4238 eV/atom
D(E_F) ... 1.01 states/eV/cell
Crystal system ... tetragonal
Volume ... 12.11 Å³ per atom
Energy of formation ... 0.24 eV per atom


Entry 13:
Below is a relaxed AlCuP2 crystal, with properties calculated at the GGA-PBE level.

a = 8.389 Å, b = 8.389 Å, c = 8.389 Å
α = 19.53°, β = 19.53°, γ = 19.53°
Atoms (fractional coordinates):
P (0.006, 0.006, 0.006)
P (0.494, 0.494, 0.494)
Al (0.250, 0.250, 0.250)
Cu (0.750, 0.750, 0.750)

Summary:
Final energy ... -4.3630 eV/atom
D(E_F) ... 1.70 states/eV/cell
Crystal system ... trigonal
Volume ... 14.43 Å³ per atom
Energy of formation ... 0.30 eV per atom


Entry 14:
Below is a relaxed BaLa4Sb5 crystal, with properties calculated at the GGA-PBE level.

a = 4.666 Å, b = 6.642 Å, c = 12.493 Å
α = 105.42°, β = 100.76°, γ = 90.00°
Atoms (fractional coordinates):
Sb (0.390, 0.890, 0.781)
Sb (0.610, 0.110, 0.219)
Sb (0.802, 0.302, 0.604)
Sb (0.000, 0.500, 0.000)
Sb (0.198, 0.698, 0.396)
La (0.400, 0.400, 0.800)
La (0.600, 0.600, 0.200)
La (0.203, 0.203, 0.406)
La (0.797, 0.797, 0.594)
Ba (0.000, 0.000, 0.000)

Summary:
Final energy ... -5.3781 eV/atom
D(E_F) ... 6.01 states/eV/cell
Crystal system ... orthorhombic
Volume ... 36.61 Å³ per atom
ΔE_f (raw) ... -11.537 eV/f.u.


Entry 15:
Below is a relaxed TiGaAs crystal, with properties calculated at the GGA-PBE level.

a = 3.633 Å, b = 3.633 Å, c = 7.743 Å
α = 90.00°, β = 90.00°, γ = 90.00°
Atoms (fractional coordinates):
Ti (0.000, 0.500, 0.714)
Ti (0.500, 0.000, 0.286)
Ga (0.500, 0.500, 0.000)
Ga (0.000, 0.000, 0.000)
As (0.000, 0.500, 0.357)
As (0.500, 0.000, 0.643)

Summary:
Final energy ... -5.6944 eV/atom
D(E_F) ... 3.97 states/eV/cell
Crystal system ... tetragonal
Volume ... 17.03 Å³ per atom
Energy of formation ... -0.50 eV per atom


Entry 16:
Below is a relaxed K2OF crystal, with properties calculated at the GGA-PBE level.

a = 4.678 Å, b = 4.678 Å, c = 4.678 Å
α = 60.00°, β = 60.00°, γ = 60.00°
Site moments in Bohr magnetons follow the coordinates.
Atoms (fractional coordinates):
O (0.000, 0.000, 0.000)  0.73
K (0.750, 0.750, 0.750)  0.00
K (0.250, 0.250, 0.250)  0.00
F (0.500, 0.500, 0.500)  0.04

Summary:
Final energy ... -3.7925 eV/atom
Offset from the most stable computed form ... 0.061 eV per atom
D(E_F) ... 13.11 states/eV/cell
Crystal system ... cubic
Volume ... 18.09 Å³ per atom
ΔE_f (raw) ... -6.146 eV/f.u.


Entry 17:
Below is a relaxed RbZn2HAu crystal, with properties calculated at the GGA-PBE level.

a = 5.549 Å, b = 3.795 Å, c = 5.549 Å
α = 90.00°, β = 90.00°, γ = 90.00°
Atoms (fractional coordinates):
Zn (0.500, 0.000, 0.000)
Zn (0.000, 0.000, 0.500)
H (0.000, 0.000, 0.000)
Au (0.000, 0.500, 0.000)
Rb (0.500, 0.500, 0.500)

Summary:
Final energy ... -1.7056 eV/atom
D(E_F) ... 1.14 states/eV/cell
Crystal system ... tetragonal
Volume ... 23.37 Å³ per atom


Entry 18:
Below is a relaxed Sc4CN2O crystal, with properties calculated at the GGA-PBE level.

a = 4.541 Å, b = 4.541 Å, c = 5.582 Å
α = 114.00°, β = 114.00°, γ = 90.00°
Atoms (fractional coordinates):
Sc (0.937, 0.437, 0.000)
Sc (0.183, 0.183, 0.491)
Sc (0.692, 0.692, 0.509)
Sc (0.437, 0.937, 0.000)
N (0.687, 0.187, 0.500)
N (0.187, 0.687, 0.500)
O (0.437, 0.437, 0.000)
C (0.937, 0.937, 0.000)

Summary:
Final energy ... -8.9334 eV/atom
D(E_F) ... 0.53 states/eV/cell
Crystal system ... tetragonal
Volume ... 11.77 Å³ per atom
ΔE_f (raw) ... -15.308 eV/f.u.


Entry 19:
Below is a relaxed Hf5Fe4Cu crystal, with properties calculated at the GGA-PBE level.

a = 3.134 Å, b = 3.134 Å, c = 16.035 Å
α = 90.00°, β = 90.00°, γ = 90.00°
Site moments in Bohr magnetons follow the coordinates.
Atoms (fractional coordinates):
Fe (0.000, 0.000, 0.598)  -0.04
Fe (0.000, 0.000, 0.795)  0.28
Fe (0.000, 0.000, 0.402)  -0.04
Fe (0.000, 0.000, 0.205)  0.28
Hf (0.500, 0.500, 0.696)  -0.04
Hf (0.500, 0.500, 0.892)  -0.07
Hf (0.500, 0.500, 0.500)  0.01
Hf (0.500, 0.500, 0.304)  -0.04
Hf (0.500, 0.500, 0.108)  -0.07
Cu (0.000, 0.000, 0.000)  -0.01

Summary:
Final energy ... -9.0571 eV/atom
D(E_F) ... 4.09 states/eV/cell
Crystal system ... tetragonal
Volume ... 15.75 Å³ per atom
Energy of formation ... -0.29 eV per atom


Entry 20:
Below is a relaxed Sr3TcMo crystal, with properties calculated at the GGA-PBE level.

a = 5.728 Å, b = 5.728 Å, c = 5.728 Å
α = 90.00°, β = 90.00°, γ = 90.00°
Site moments in Bohr magnetons follow the coordinates.
Atoms (fractional coordinates):
Sr (0.500, 0.000, 0.000)  0.02
Sr (0.000, 0.500, 0.000)  0.01
Sr (0.000, 0.000, 0.500)  0.00
Tc (0.000, 0.000, 0.000)  1.23
Mo (0.500, 0.500, 0.500)  3.73

Summary:
Final energy ... -3.9254 eV/atom
D(E_F) ... 4.55 states/eV/cell
Crystal system ... cubic
Volume ... 37.59 Å³ per atom
Energy of formation ... 1.32 eV per atom